(1)
Below is CsBe2P2 after structural relaxation, with properties calculated at the GGA-PBEsol level.

Lattice parameters (Å, degrees): 3.540 3.540 15.224 90.00 90.00 90.00
Space group I4/mmm (No. 139)
Inequivalent atoms, fractional coordinates:
Cs 0.000 0.000 0.000 x2
Be 0.000 0.500 0.250 x4
P 0.000 0.000 0.338 x4

Summary:
ΔH_f (0 K)	-0.33	eV/atom
volume	19.08	Å³ per atom

(2)
Below is CsBeP after structural relaxation, with properties calculated at the GGA-PBEsol level.

Lattice parameters (Å, degrees): 13.554 3.746 6.466 90.00 107.44 90.00
Space group C2/m (No. 12)
Inequivalent atoms, fractional coordinates:
Cs 0.090 0.000 0.313 x4
Be 0.214 0.000 0.923 x4
P 0.144 0.500 0.814 x4

Summary:
ΔH_f (0 K)	-0.45	eV/atom
volume	26.10	Å³ per atom

(3)
Below is CsBe3P after structural relaxation, with properties calculated at the GGA-PBEsol level.

Lattice parameters (Å, degrees): 4.839 4.839 4.839 90.00 90.00 90.00
Space group Pm-3m (No. 221)
Inequivalent atoms, fractional coordinates:
Cs 0.000 0.000 0.000 x1
Be 0.000 0.000 0.500 x3
P 0.500 0.500 0.500 x1

Summary:
ΔH_f (0 K)	2.72	eV/atom
volume	22.66	Å³ per atom

(4)
Below is CsBeP2S after structural relaxation, with properties calculated at the GGA-PBEsol level.

Lattice parameters (Å, degrees): 4.526 4.526 4.792 90.00 90.00 90.00
Space group P4/mmm (No. 123)
Inequivalent atoms, fractional coordinates:
Cs 0.000 0.000 0.000 x1
Be 0.500 0.500 0.500 x1
P 0.000 0.500 0.500 x2
S 0.500 0.500 0.000 x1

Summary:
volume	19.63	Å³ per atom
formation energy from raw total energies	31.9	kJ/mol of atoms

(5)
Below is CsBePd2Pb after structural relaxation, with properties calculated at the GGA-PBEsol level.

Lattice parameters (Å, degrees): 5.288 5.288 4.676 90.00 90.00 90.00
Space group P4/mmm (No. 123)
Inequivalent atoms, fractional coordinates:
Cs 0.000 0.000 0.000 x1
Be 0.500 0.500 0.000 x1
Pd 0.000 0.500 0.500 x2
Pb 0.500 0.500 0.500 x1

Summary:
ΔH_f (0 K)	0.58	eV/atom
volume	26.15	Å³ per atom

(6)
Below is CsBe3Pt after structural relaxation, with properties calculated at the GGA-PBEsol level.

Lattice parameters (Å, degrees): 4.559 4.559 4.559 90.00 90.00 90.00
Space group Pm-3m (No. 221)
Inequivalent atoms, fractional coordinates:
Cs 0.000 0.000 0.000 x1
Be 0.000 0.500 0.500 x3
Pt 0.500 0.500 0.500 x1

Summary:
ΔH_f (0 K)	0.29	eV/atom
volume	18.95	Å³ per atom

(7)
Below is CsBe2S2 after structural relaxation, with properties calculated at the GGA-PBEsol level.

Lattice parameters (Å, degrees): 3.650 3.650 14.077 90.00 90.00 90.00
Space group I4/mmm (No. 139)
Inequivalent atoms, fractional coordinates:
Cs 0.000 0.000 0.000 x2
Be 0.000 0.500 0.250 x4
S 0.000 0.000 0.332 x4

Summary:
volume	18.75	Å³ per atom
formation energy from raw total energies	-64.9	kJ/mol of atoms

(8)
Below is Cs2BeSbSe after structural relaxation, with properties calculated at the GGA-PBEsol level.

Lattice parameters (Å, degrees): 6.728 6.728 5.407 90.00 90.00 90.00
Space group P4/mmm (No. 123)
Inequivalent atoms, fractional coordinates:
Cs 0.000 0.500 0.000 x2
Be 0.000 0.000 0.500 x1
Sb 0.500 0.500 0.500 x1
Se 0.500 0.500 0.000 x1

Summary:
volume	48.96	Å³ per atom
formation energy from raw total energies	31.0	kJ/mol of atoms

(9)
Below is Cs3BeSn after structural relaxation, with properties calculated at the GGA-PBEsol level.

Lattice parameters (Å, degrees): 6.557 6.557 6.557 90.00 90.00 90.00
Space group Pm-3m (No. 221)
Inequivalent atoms, fractional coordinates:
Cs 0.000 0.000 0.500 x3
Be 0.000 0.000 0.000 x1
Sn 0.500 0.500 0.500 x1

Summary:
ΔH_f (0 K)	0.71	eV/atom
volume	56.38	Å³ per atom

(10)
Below is CsSrBe3 after structural relaxation, with properties calculated at the GGA-PBEsol level.

Lattice parameters (Å, degrees): 5.854 5.854 5.854 90.00 90.00 90.00
Space group Pm-3m (No. 221)
Inequivalent atoms, fractional coordinates:
Cs 0.000 0.000 0.000 x1
Sr 0.500 0.500 0.500 x1
Be 0.000 0.500 0.500 x3

Summary:
ΔH_f (0 K)	1.64	eV/atom
volume	40.11	Å³ per atom

(11)
Below is Cs2BeTe2 after structural relaxation, with properties calculated at the GGA-PBEsol level.

Lattice parameters (Å, degrees): 4.465 4.465 21.504 90.00 90.00 90.00
Space group I4/mmm (No. 139)
Inequivalent atoms, fractional coordinates:
Cs 0.000 0.000 0.109 x4
Be 0.000 0.000 0.500 x2
Te 0.000 0.500 0.250 x4

Summary:
volume	42.86	Å³ per atom
formation energy from raw total energies	17.0	kJ/mol of atoms

(12)
Below is Cs3YBe after structural relaxation, with properties calculated at the GGA-PBEsol level.

Lattice parameters (Å, degrees): 7.300 7.300 7.300 90.00 90.00 90.00
Space group Pm-3m (No. 221)
Inequivalent atoms, fractional coordinates:
Cs 0.000 0.000 0.500 x3
Y 0.000 0.000 0.000 x1
Be 0.500 0.500 0.500 x1

Summary:
ΔH_f (0 K)	1.38	eV/atom
volume	77.79	Å³ per atom

(13)
Below is CsZrBe2Zn after structural relaxation, with properties calculated at the GGA-PBEsol level.

Lattice parameters (Å, degrees): 4.741 4.741 5.194 90.00 90.00 90.00
Space group P4/mmm (No. 123)
Inequivalent atoms, fractional coordinates:
Cs 0.000 0.000 0.000 x1
Zr 0.500 0.500 0.500 x1
Be 0.000 0.500 0.000 x2
Zn 0.000 0.000 0.500 x1

Summary:
ΔH_f (0 K)	2.13	eV/atom
volume	23.35	Å³ per atom

(14)
Below is Be3Cu after structural relaxation, with properties calculated at the GGA-PBEsol level.

Lattice parameters (Å, degrees): 2.432 3.695 3.918 90.00 90.00 90.00
Space group Pmm2 (No. 25)
Inequivalent atoms, fractional coordinates:
Be 0.000 0.000 0.000 x1
Be 0.000 0.500 0.356 x1
Be 0.500 0.000 0.488 x1
Cu 0.500 0.500 0.853 x1

Summary:
ΔH_f (0 K)	-0.04	eV/atom
volume	8.80	Å³ per atom

(15)
Below is Be3Cu after structural relaxation, with properties calculated at the GGA-PBEsol level.

Lattice parameters (Å, degrees): 3.721 4.650 4.027 90.00 90.00 90.00
Space group Pmmn (No. 59, origin choice 2)
Inequivalent atoms, fractional coordinates:
Be 0.250 0.004 0.165 x4
Be 0.250 0.750 0.675 x2
Cu 0.250 0.250 0.663 x2

Summary:
ΔH_f (0 K)	-0.07	eV/atom
volume	8.71	Å³ per atom

(16)
Below is BeCu after structural relaxation, with properties calculated at the GGA-PBEsol level.

Lattice parameters (Å, degrees): 2.434 3.641 4.472 90.00 105.93 90.00
Space group P2_1/m (No. 11)
Inequivalent atoms, fractional coordinates:
Be 0.069 0.250 0.139 x2
Cu 0.334 0.250 0.670 x2

Summary:
ΔH_f (0 K)	-0.07	eV/atom
volume	9.53	Å³ per atom

(17)
Below is Be4Cu5 after structural relaxation, with properties calculated at the GGA-PBEsol level.

Lattice parameters (Å, degrees): 6.5924 6.5924 4.6700 90.00 90.00 120.00
Space group P6_3/mcm (No. 193)
Inequivalent atoms, fractional coordinates:
Be 0.0000 0.0000 0.0000 x2
Be 0.0000 0.3683 0.2500 x6
Cu 0.0000 0.2949 0.7500 x6
Cu 0.3333 0.6667 0.0000 x4

Summary:
ΔH_f (0 K)	-0.06	eV/atom
volume	9.76	Å³ per atom

(18)
Below is Be4Cu3 after structural relaxation, with properties calculated at the GGA-PBEsol level.

Lattice parameters (Å, degrees): 2.647 2.647 18.497 90.00 90.00 90.00
Space group I4/mmm (No. 139)
Inequivalent atoms, fractional coordinates:
Be 0.000 0.000 0.071 x4
Be 0.000 0.000 0.365 x4
Cu 0.000 0.000 0.204 x4
Cu 0.000 0.000 0.500 x2

Summary:
ΔH_f (0 K)	-0.07	eV/atom
volume	9.25	Å³ per atom
energy above the lowest structure with this stoichiometry	0	meV per atom

(19)
Below is Be4Cu3 after structural relaxation, with properties calculated at the GGA-PBEsol level.

Lattice parameters (Å, degrees): 4.5289 4.5289 4.0769 90.00 90.00 120.00
Space group P6/mmm (No. 191)
Inequivalent atoms, fractional coordinates:
Be 0.0000 0.0000 0.2482 x2
Be 0.3333 0.6667 0.5000 x2
Cu 0.0000 0.5000 0.0000 x3

Summary:
ΔH_f (0 K)	0.21	eV/atom
volume	10.35	Å³ per atom
energy above the lowest structure with this stoichiometry	281	meV per atom

(20)
Below is Be3Cu after structural relaxation, with properties calculated at the GGA-PBEsol level.

Lattice parameters (Å, degrees): 4.138 4.138 4.138 90.00 90.00 90.00
Space group Pm-3n (No. 223)
Inequivalent atoms, fractional coordinates:
Be 0.000 0.250 0.500 x6
Cu 0.000 0.000 0.000 x2

Summary:
ΔH_f (0 K)	0.02	eV/atom
volume	8.85	Å³ per atom

(21)
Below is Be2Cu after structural relaxation, with properties calculated at the GGA-PBEsol level.

Lattice parameters (Å, degrees): 5.937 5.937 5.937 90.00 90.00 90.00
Space group Fd-3m (No. 227, origin choice 2)
Inequivalent atoms, fractional coordinates:
Be 0.000 0.000 0.000 x16
Cu 0.125 0.125 0.625 x8

Summary:
ΔH_f (0 K)	-0.15	eV/atom
volume	8.72	Å³ per atom
energy above the lowest structure with this stoichiometry	0	meV per atom

(22)
Below is Be3Cu after structural relaxation, with properties calculated at the GGA-PBEsol level.

Lattice parameters (Å, degrees): 4.1730 4.1730 20.4450 90.00 90.00 120.00
Space group R3m (No. 160, hexagonal axes)
Inequivalent atoms, fractional coordinates:
Be 0.0000 0.0000 0.0000 x3
Be 0.0000 0.0000 0.1873 x3
Be 0.0000 0.0000 0.5001 x3
Be 0.9999 0.5000 0.2498 x9
Be 0.0000 0.5000 0.7504 x9
Cu 0.0000 0.0000 0.3096 x3
Cu 0.0000 0.0000 0.6879 x3
Cu 0.0000 0.0000 0.8148 x3

Summary:
ΔH_f (0 K)	-0.12	eV/atom
volume	8.56	Å³ per atom

(23)
Below is Be2Cu after structural relaxation, with properties calculated at the GGA-PBEsol level.

Lattice parameters (Å, degrees): 2.666 2.666 7.488 90.00 90.00 90.00
Space group I4/mmm (No. 139)
Inequivalent atoms, fractional coordinates:
Be 0.000 0.000 0.172 x4
Cu 0.000 0.000 0.500 x2

Summary:
ΔH_f (0 K)	-0.09	eV/atom
volume	8.87	Å³ per atom
energy above the lowest structure with this stoichiometry	60	meV per atom

(24)
Below is BeCu after structural relaxation, with properties calculated at the GGA-PBEsol level.

Lattice parameters (Å, degrees): 8.173 2.556 3.859 90.00 109.40 90.00
Space group C2/m (No. 12)
Inequivalent atoms, fractional coordinates:
Be 0.133 0.000 0.341 x4
Cu 0.113 0.500 0.827 x4

Summary:
ΔH_f (0 K)	-0.09	eV/atom
volume	9.50	Å³ per atom

(25)
Below is BeCu after structural relaxation, with properties calculated at the GGA-PBEsol level.

Lattice parameters (Å, degrees): 2.650 3.750 7.657 90.00 90.00 90.00
Space group Imma (No. 74)
Inequivalent atoms, fractional coordinates:
Be 0.000 0.250 0.130 x4
Cu 0.000 0.250 0.615 x4

Summary:
ΔH_f (0 K)	-0.08	eV/atom
volume	9.51	Å³ per atom

(26)
Below is Be5Cu4 after structural relaxation, with properties calculated at the GGA-PBEsol level.

Lattice parameters (Å, degrees): 7.059 7.059 3.381 90.00 90.00 90.00
Space group I4/mmm (No. 139)
Inequivalent atoms, fractional coordinates:
Be 0.000 0.000 0.000 x2
Be 0.163 0.163 0.500 x8
Cu 0.000 0.316 0.000 x8

Summary:
ΔH_f (0 K)	-0.05	eV/atom
volume	9.36	Å³ per atom
energy above the lowest structure with this stoichiometry	6	meV per atom

(27)
Below is Be3Cu after structural relaxation, with properties calculated at the GGA-PBEsol level.

Lattice parameters (Å, degrees): 5.176 5.176 5.176 90.00 90.00 90.00
Space group Fm-3m (No. 225)
Inequivalent atoms, fractional coordinates:
Be 0.000 0.000 0.000 x4
Be 0.250 0.250 0.250 x8
Cu 0.000 0.000 0.500 x4

Summary:
ΔH_f (0 K)	-0.06	eV/atom
volume	8.67	Å³ per atom